Entry 1:
Material: ZnReF3
Method: DFT, GGA-PBE
State: optimized geometry

Output
D(E_F) = 1.04 states/eV/cell
Total magnetization = 5.85 μB per formula unit
Calculated total energy = -22.33 eV for the cell shown
Energy relative to the elements, uncorrected = -0.599 eV/atom
V = 14.7 Å³ per atom

abc: 4.1873 4.1873 4.1873
angles: 90.00 90.00 90.00
Element x y z (fractional)
F: 0.5000 0.0000 0.0000
F: 0.0000 0.5000 0.0000
F: 0.0000 0.0000 0.5000
Re: 0.5000 0.5000 0.5000
Zn: 0.0000 0.0000 0.0000



Entry 2:
Material: YCrTc2
Method: DFT, GGA-PBE
State: optimized geometry

Output
D(E_F) = 4.04 states/eV/cell
Total magnetization = 0.00 μB per formula unit
Calculated total energy = -35.75 eV for the cell shown
V = 17.0 Å³ per atom

abc: 3.1088 3.1088 7.0432
angles: 90.00 90.00 90.02
Element x y z (fractional)
Cr: 0.5000 0.5000 0.8079
Tc: 0.5000 0.5000 0.2026
Tc: 0.0000 0.0000 0.9853
Y: 0.0000 0.0000 0.5043



calculated total energy of number 1 (ZnReF3)? -22.33 eV for the cell shown



Among the records above, which one has the highest total magnetization? ZnReF3



calculated total energy of number 1 (ZnReF3)? -22.33 eV for the cell shown



Number 2 is which compound? YCrTc2